First-principles (PBE) data for a geometry-optimized MgAl2S structure, as listed in Alexandria via LeMat-Bulk.

a b c (Å): 6.7116 6.7116 6.7116
angles (deg): 90.00 90.00 90.00
Space group Fm-3m (No. 225)
Symmetry-distinct sites (fractional):
Mg (0.0000, 0.0000, 0.0000) x4
Al (0.2500, 0.2500, 0.2500) x8
S (0.0000, 0.0000, 0.5000) x4

Values from the calculation:
**Excess energy over the best structure of this formula in the dataset**: 389 meV per atom
**Calculated total energy**: -48.34 eV/cell
**Uncorrected formation energy**: 0.28 eV per atom
**Total magnetization**: 0.00 μB per cell